The following is a DFT calculation (PBE) of crystalline Mn2VSeN at its relaxed geometry.

abc: 3.680 5.476 3.680
angles: 90.00 90.00 90.00
Last column: magnetic moment on the atom in μB.
Atoms (fractional coordinates):
V 0.500 0.500 0.500  -2.39
Mn 0.000 0.000 0.500  2.66
Mn 0.500 0.000 0.000  2.37
N 0.000 0.000 0.000  -0.25
Se 0.000 0.500 0.000  0.15

Total magnetic moment, μB/atom: 0.461
Formation energy without anion corrections, kJ per mole of atoms: 9.2



The following is a DFT calculation (PBE) of crystalline KRbGe2Cl6 at its relaxed geometry.

abc: 9.844 9.485 9.485
angles: 107.32 73.04 73.04
Atoms (fractional coordinates):
Cl 0.029 0.579 0.703
Cl 0.861 0.025 0.208
Cl 0.847 0.402 0.924
Cl 0.153 0.598 0.076
Cl 0.639 0.792 0.975
Cl 0.529 0.703 0.579
Cl 0.139 0.975 0.792
Cl 0.361 0.208 0.025
Cl 0.347 0.924 0.402
Cl 0.471 0.297 0.421
Cl 0.971 0.421 0.297
Cl 0.653 0.076 0.598
Rb 0.750 0.081 0.919
Rb 0.250 0.919 0.081
Ge 0.303 0.754 0.535
Ge 0.803 0.535 0.754
Ge 0.197 0.465 0.246
Ge 0.697 0.246 0.465
K 0.750 0.740 0.260
K 0.250 0.260 0.740

Total magnetic moment, μB/atom: 0.000
Formation energy without anion corrections, kJ per mole of atoms: -126.0